The following is a DFT calculation (PBE) of a relaxed Tb8Cd3Co2 crystal.

a b c (Å): 8.664 8.664 6.390
angles (deg): 91.00 91.00 52.23
Fractional positions:
Tb 0.099 0.590 0.171
Tb 0.140 0.140 0.333
Tb 0.334 0.334 0.656
Tb 0.410 0.901 0.829
Tb 0.590 0.099 0.171
Tb 0.666 0.666 0.344
Tb 0.860 0.860 0.667
Tb 0.901 0.410 0.829
Cd 0.289 0.711 0.500
Cd 0.500 0.500 0.000
Cd 0.711 0.289 0.500
Co 0.243 0.243 0.010
Co 0.757 0.757 0.990

Crystal system: monoclinic
Calculated density: 7.56 g/cm³
Energy: -4.257 eV/atom
Space group: C2/m


The following is a DFT calculation (PBE) of a relaxed Tb12CdCo5 crystal.

a b c (Å): 8.315 8.315 8.315
angles (deg): 110.66 110.12 107.65
Fractional positions:
Tb 0.014 0.206 0.808
Tb 0.185 0.293 0.478
Tb 0.185 0.707 0.891
Tb 0.315 0.010 0.695
Tb 0.315 0.620 0.305
Tb 0.398 0.206 0.192
Tb 0.602 0.794 0.808
Tb 0.685 0.380 0.695
Tb 0.685 0.990 0.305
Tb 0.815 0.293 0.109
Tb 0.815 0.707 0.522
Tb 0.986 0.794 0.192
Cd 0.500 0.500 0.000
Co 0.000 0.000 0.000
Co 0.113 0.613 0.500
Co 0.379 0.000 0.379
Co 0.621 0.000 0.621
Co 0.887 0.387 0.500

Crystal system: orthorhombic
Calculated density: 8.69 g/cm³
Energy: -5.307 eV/atom
Space group: Immm


Calculated M_tot (μB per atom), listed in the same order as above: 0.00, 0.00